The following is a GGA-PBE calculation of an optimized crystal structure of TaH2O, from the Alexandria database.

Properties
energy relative to the lowest polymorph listed for this composition: 0.00 eV per formula unit
total magnetization: 0.00 μB per formula unit
energy: -51.4 eV per cell
symmetry: No. 122

abc: 3.070 3.070 7.162
angles: 77.63 77.63 90.00
Fractional coordinates of all 8 atoms:
H  0.770  0.125  0.250
H  0.980  0.625  0.250
H  0.375  0.230  0.750
H  0.875  0.020  0.750
O  0.500  0.500  0.000
O  0.250  0.750  0.500
Ta  0.000  0.000  0.000
Ta  0.750  0.250  0.500